Entry i
A plane-wave DFT calculation with GGA-PBE was carried out for a relaxed structure of Be2ZnAu2.

a b c (Å): 6.7468 6.7468 2.9511
angles (deg): 90.00 90.00 90.00
Atoms (fractional coordinates):
Be 0.1252 0.3748 0.0000
Be 0.3748 0.8748 0.0000
Be 0.6252 0.1252 0.0000
Be 0.8748 0.6252 0.0000
Zn 0.0000 0.0000 0.0000
Zn 0.5000 0.5000 0.0000
Au 0.1674 0.6674 0.5000
Au 0.3326 0.1674 0.5000
Au 0.6674 0.8326 0.5000
Au 0.8326 0.3326 0.5000

Summary:
Magnetization   0.0 μB per cell
Volume   13.43 Å³ per atom
SG   No. 127


Entry ii
A plane-wave DFT calculation with GGA-PBE was carried out for a relaxed structure of Be2ZnAu2.

a b c (Å): 6.7871 6.7871 6.7871
angles (deg): 151.69 151.69 40.47
Atoms (fractional coordinates):
Be 0.2500 0.7500 0.5000
Be 0.7500 0.2500 0.5000
Zn 0.0000 0.0000 0.0000
Au 0.3837 0.3837 0.0000
Au 0.6163 0.6163 0.0000

Summary:
Magnetization   0.0 μB per cell
Volume   14.04 Å³ per atom
SG   No. 139


Entry iii
A plane-wave DFT calculation with GGA-PBE was carried out for a relaxed structure of Be2ZnAu2.

a b c (Å): 6.9093 6.9093 2.9350
angles (deg): 90.00 90.00 90.00
Atoms (fractional coordinates):
Be 0.1389 0.3611 0.0000
Be 0.3611 0.8611 0.0000
Be 0.6389 0.1389 0.0000
Be 0.8611 0.6389 0.0000
Zn 0.0000 0.0000 0.5000
Zn 0.5000 0.5000 0.5000
Au 0.1548 0.6548 0.5000
Au 0.3452 0.1548 0.5000
Au 0.6548 0.8452 0.5000
Au 0.8452 0.3452 0.5000

Summary:
Magnetization   0.0 μB per cell
Volume   14.01 Å³ per atom
SG   No. 127


The structure with the least stability is entry iii.


Entry i
A plane-wave DFT calculation with GGA-PBE was carried out for a relaxed structure of Be2ZnAu4.

a b c (Å): 5.2312 5.2312 5.2312
angles (deg): 106.92 106.92 114.70
Atoms (fractional coordinates):
Be 0.0000 0.5000 0.5000
Be 0.5000 0.0000 0.5000
Zn 0.4985 0.4985 0.0000
Au 0.9998 0.9998 0.4989
Au 0.9998 0.5008 0.0000
Au 0.5008 0.9998 0.0000
Au 0.5008 0.5008 0.5011

Summary:
Magnetization   0.0 μB per cell
Volume   15.64 Å³ per atom
SG   No. 107


Entry ii
A plane-wave DFT calculation with GGA-PBE was carried out for a relaxed structure of Be2ZnAu4.

a b c (Å): 7.2389 7.2389 7.2389
angles (deg): 126.18 126.18 79.60
Atoms (fractional coordinates):
Be 0.0000 0.0000 0.0000
Be 0.5000 0.0000 0.0000
Be 0.5000 0.0000 0.5000
Be 0.5000 0.5000 0.5000
Zn 0.1250 0.3750 0.7500
Zn 0.8750 0.6250 0.2500
Au 0.1198 0.0345 0.7930
Au 0.1732 0.3802 0.4147
Au 0.2585 0.6732 0.2930
Au 0.4655 0.7585 0.0853
Au 0.5345 0.2415 0.9147
Au 0.7415 0.3268 0.7070
Au 0.8268 0.6198 0.5853
Au 0.8802 0.9655 0.2070

Summary:
Magnetization   0.0 μB per cell
Volume   17.06 Å³ per atom
SG   No. 88


The structure with the least stability is entry ii.


Entry i
A plane-wave DFT calculation with GGA-PBE was carried out for a relaxed structure of BeZnAu6.

a b c (Å): 5.4143 5.4189 5.4215
angles (deg): 71.72 71.93 72.07
Atoms (fractional coordinates):
Be 0.0000 0.0000 0.0000
Zn 0.5000 0.5000 0.5000
Au 0.0111 0.4583 0.7627
Au 0.2366 0.9882 0.5440
Au 0.4581 0.7627 0.0110
Au 0.5419 0.2373 0.9890
Au 0.7634 0.0118 0.4560
Au 0.9889 0.5417 0.2373

Summary:
Magnetization   0.0 μB per cell
Volume   17.45 Å³ per atom
SG   No. 2


Entry ii
A plane-wave DFT calculation with GGA-PBE was carried out for a relaxed structure of BeZnAu6.

a b c (Å): 7.7389 7.7389 7.7389
angles (deg): 147.73 147.73 46.28
Atoms (fractional coordinates):
Be 0.0000 0.0000 0.0000
Zn 0.5000 0.5000 0.0000
Au 0.1070 0.6070 0.5000
Au 0.2490 0.2490 0.0000
Au 0.3930 0.8930 0.5000
Au 0.6070 0.1070 0.5000
Au 0.7510 0.7510 0.0000
Au 0.8930 0.3930 0.5000

Summary:
Magnetization   0.0 μB per cell
Volume   16.45 Å³ per atom
SG   No. 139


The structure with the least stability is entry i.


Entry i
A plane-wave DFT calculation with GGA-PBE was carried out for a relaxed structure of ZrBeAu.

a b c (Å): 4.1913 4.1913 4.1913
angles (deg): 60.00 60.00 60.00
Atoms (fractional coordinates):
Zr 0.0000 0.0000 0.0000
Be 0.7500 0.7500 0.7500
Au 0.5000 0.5000 0.5000

Summary:
Magnetization   0.0 μB per cell
Volume   17.35 Å³ per atom
SG   No. 216


Entry ii
A plane-wave DFT calculation with GGA-PBE was carried out for a relaxed structure of ZrBeAu.

a b c (Å): 11.5101 3.8406 6.5472
angles (deg): 90.00 90.00 90.00
Atoms (fractional coordinates):
Zr 0.0384 0.0000 0.2306
Zr 0.2500 0.0000 0.8564
Zr 0.4616 0.0000 0.2306
Zr 0.5384 0.0000 0.7694
Zr 0.7500 0.0000 0.1436
Zr 0.9616 0.0000 0.7694
Be 0.0908 0.5000 0.9499
Be 0.2500 0.0000 0.4283
Be 0.4092 0.5000 0.9499
Be 0.5908 0.5000 0.0501
Be 0.7500 0.0000 0.5717
Be 0.9092 0.5000 0.0501
Au 0.1228 0.5000 0.5790
Au 0.2500 0.5000 0.1944
Au 0.3772 0.5000 0.5790
Au 0.6228 0.5000 0.4210
Au 0.7500 0.5000 0.8056
Au 0.8772 0.5000 0.4210

Summary:
Magnetization   0.0 μB per cell
Volume   16.08 Å³ per atom
SG   No. 51


The structure with the least stability is entry i.